! AgSe2Br, optimized geometry, DFT GGA-PBE; values from VASP
! Fermi-level density of states   1.7 states/eV/f.u.
! Formation energy (no corrections)   -0.22 eV per formula unit
! V   107.3 Å³/cell
! ΔE to the lowest computed polymorph   0.070 eV/atom
&SYSTEM
  ibrav = 0, nat = 4, ntyp = 3
/
ATOMIC_SPECIES
Ag 107.87 Ag.upf
Se 78.96 Se.upf
Br 79.90 Br.upf
ATOMIC_POSITIONS crystal
Ag 0.500 0.250 0.250
Se 0.000 0.471 0.391
Br 0.500 0.750 0.750
Se 0.000 0.029 0.109
CELL_PARAMETERS angstrom
-1.719 1.932 -3.290
-4.281 -0.660 1.850
-2.609 4.304 3.892